# ZnP2WO

An optimized crystal structure of ZnP2WO (PBE with a Hubbard U, the Alexandria database).

## Properties
**Size of the total moment**: 0.2 μB/f.u.
**DOS at the Fermi energy**: 0.21 states/eV per atom
**Crystal system**: tetragonal
**Relative energy among the computed polymorphs**: 0 meV per atom

Unit cell a=4.8703 b=4.8703 c=3.8189 alpha=90.00 beta=90.00 gamma=90.00
Last column: nearest neighbours and their distance in Å.
Atoms (fractional coordinates):
P: 0.0000 0.5000 0.0000  2 W 2.44
P: 0.5000 0.0000 0.0000  2 W 2.44
Zn: 0.5000 0.5000 0.5000  8 P 3.09, 4 O 3.44
O: 0.0000 0.0000 0.5000  2 W 1.91
W: 0.0000 0.0000 0.0000  2 O 1.91